(1)
Here is TmHfTl after structural relaxation from Alexandria via LeMat-Bulk. Energies are from GGA-PBE.

Properties
- ΔH_f (0 K): -0.0612 eV per atom
- Crystal system: tetragonal
- Space group: I4mm

```
data_TmHfTl
_cell_length_a 3.431
_cell_length_b 3.431
_cell_length_c 12.754
_cell_angle_alpha 90.00
_cell_angle_beta 90.00
_cell_angle_gamma 90.00
_symmetry_space_group_name_H-M 'P 1'
_symmetry_Int_Tables_number 1
loop_
_symmetry_equiv_pos_as_xyz
'x,y,z'
loop_
_atom_site_label
_atom_site_type_symbol
_atom_site_fract_x
_atom_site_fract_y
_atom_site_fract_z
Tm1 Tm 0.000 0.000 0.000
Tm2 Tm 0.500 0.500 0.500
Hf1 Hf 0.000 0.000 0.670
Hf2 Hf 0.500 0.500 0.170
Tl1 Tl 0.000 0.000 0.327
Tl2 Tl 0.500 0.500 0.827
```


(2)
Here is NaScSi2O6 after structural relaxation from Alexandria via LeMat-Bulk. Energies are from GGA-PBE.

Properties
- Raw formation energy: -2.901 eV per atom
- Crystal system: monoclinic
- Space group: C2/c

```
data_NaScSi2O6
_cell_length_a 6.777
_cell_length_b 6.777
_cell_length_c 5.419
_cell_angle_alpha 102.87
_cell_angle_beta 102.87
_cell_angle_gamma 84.94
_symmetry_space_group_name_H-M 'P 1'
_symmetry_Int_Tables_number 1
loop_
_symmetry_equiv_pos_as_xyz
'x,y,z'
loop_
_atom_site_label
_atom_site_type_symbol
_atom_site_fract_x
_atom_site_fract_y
_atom_site_fract_z
Na1 Na 0.200 0.800 0.750
Na2 Na 0.800 0.200 0.250
Sc1 Sc 0.395 0.605 0.250
Sc2 Sc 0.605 0.395 0.750
Si1 Si 0.123 0.296 0.756
Si2 Si 0.296 0.123 0.256
Si3 Si 0.704 0.877 0.744
Si4 Si 0.877 0.704 0.244
O1 O 0.107 0.614 0.304
O2 O 0.147 0.155 0.976
O3 O 0.155 0.147 0.476
O4 O 0.303 0.461 0.854
O5 O 0.386 0.893 0.196
O6 O 0.461 0.303 0.354
O7 O 0.539 0.697 0.646
O8 O 0.614 0.107 0.804
O9 O 0.697 0.539 0.146
O10 O 0.845 0.853 0.524
O11 O 0.853 0.845 0.024
O12 O 0.893 0.386 0.696
```


(3)
Here is PmNdSm after structural relaxation from Alexandria via LeMat-Bulk. Energies are from GGA-PBE.

Properties
- ΔH_f (0 K): 0.0148 eV per atom
- Crystal system: tetragonal
- Space group: I4mm

```
data_PmNdSm
_cell_length_a 3.654
_cell_length_b 3.654
_cell_length_c 15.517
_cell_angle_alpha 90.00
_cell_angle_beta 90.00
_cell_angle_gamma 90.00
_symmetry_space_group_name_H-M 'P 1'
_symmetry_Int_Tables_number 1
loop_
_symmetry_equiv_pos_as_xyz
'x,y,z'
loop_
_atom_site_label
_atom_site_type_symbol
_atom_site_fract_x
_atom_site_fract_y
_atom_site_fract_z
Pm1 Pm 0.000 0.000 0.000
Pm2 Pm 0.500 0.500 0.500
Nd1 Nd 0.000 0.000 0.668
Nd2 Nd 0.500 0.500 0.168
Sm1 Sm 0.000 0.000 0.334
Sm2 Sm 0.500 0.500 0.834
```


(4)
Here is Mo2IrOs after structural relaxation from Alexandria via LeMat-Bulk. Energies are from GGA-PBE.

Properties
- ΔH_f (0 K): 0.2896 eV per atom
- Crystal system: cubic
- Space group: F-43m

```
data_Mo2IrOs
_cell_length_a 6.259
_cell_length_b 6.259
_cell_length_c 6.259
_cell_angle_alpha 90.00
_cell_angle_beta 90.00
_cell_angle_gamma 90.00
_symmetry_space_group_name_H-M 'P 1'
_symmetry_Int_Tables_number 1
loop_
_symmetry_equiv_pos_as_xyz
'x,y,z'
loop_
_atom_site_label
_atom_site_type_symbol
_atom_site_fract_x
_atom_site_fract_y
_atom_site_fract_z
Mo1 Mo 0.000 0.000 0.000
Mo2 Mo 0.000 0.500 0.500
Mo3 Mo 0.250 0.250 0.250
Mo4 Mo 0.250 0.750 0.750
Mo5 Mo 0.500 0.000 0.500
Mo6 Mo 0.500 0.500 0.000
Mo7 Mo 0.750 0.250 0.750
Mo8 Mo 0.750 0.750 0.250
Ir1 Ir 0.000 0.000 0.500
Ir2 Ir 0.000 0.500 0.000
Ir3 Ir 0.500 0.000 0.000
Ir4 Ir 0.500 0.500 0.500
Os1 Os 0.250 0.250 0.750
Os2 Os 0.250 0.750 0.250
Os3 Os 0.750 0.250 0.250
Os4 Os 0.750 0.750 0.750
```


(5)
Here is RbCrNiAu2 after structural relaxation from Alexandria via LeMat-Bulk. Energies are from GGA-PBE.

Properties
- ΔH_f (0 K): 1.7896 eV per atom
- Crystal system: tetragonal
- Space group: P4/mmm

```
data_RbCrNiAu2
_cell_length_a 5.746
_cell_length_b 5.746
_cell_length_c 4.597
_cell_angle_alpha 90.00
_cell_angle_beta 90.00
_cell_angle_gamma 90.00
_symmetry_space_group_name_H-M 'P 1'
_symmetry_Int_Tables_number 1
loop_
_symmetry_equiv_pos_as_xyz
'x,y,z'
loop_
_atom_site_label
_atom_site_type_symbol
_atom_site_fract_x
_atom_site_fract_y
_atom_site_fract_z
Rb1 Rb 0.000 0.000 0.000
Cr1 Cr 0.500 0.500 0.500
Ni1 Ni 0.000 0.000 0.500
Au1 Au 0.000 0.500 0.000
Au2 Au 0.500 0.000 0.000
```


(6)
Here is SrReAs2 after structural relaxation from Alexandria via LeMat-Bulk. Energies are from GGA-PBE.

Properties
- ΔH_f (0 K): -0.1433 eV per atom
- Crystal system: orthorhombic
- Space group: Imm2

```
data_SrReAs2
_cell_length_a 3.317
_cell_length_b 3.567
_cell_length_c 14.513
_cell_angle_alpha 90.00
_cell_angle_beta 90.00
_cell_angle_gamma 90.00
_symmetry_space_group_name_H-M 'P 1'
_symmetry_Int_Tables_number 1
loop_
_symmetry_equiv_pos_as_xyz
'x,y,z'
loop_
_atom_site_label
_atom_site_type_symbol
_atom_site_fract_x
_atom_site_fract_y
_atom_site_fract_z
Sr1 Sr 0.000 0.000 0.000
Sr2 Sr 0.500 0.500 0.500
Re1 Re 0.000 0.500 0.255
Re2 Re 0.500 0.000 0.755
As1 As 0.000 0.000 0.628
As2 As 0.000 0.500 0.827
As3 As 0.500 0.000 0.327
As4 As 0.500 0.500 0.128
```


(7)
Here is SbIr2RuSe after structural relaxation from Alexandria via LeMat-Bulk. Energies are from GGA-PBE.

Properties
- Raw formation energy: 1.190 eV per atom
- Crystal system: tetragonal
- Space group: P4/mmm

```
data_SbIr2RuSe
_cell_length_a 4.801
_cell_length_b 4.801
_cell_length_c 4.653
_cell_angle_alpha 90.00
_cell_angle_beta 90.00
_cell_angle_gamma 90.00
_symmetry_space_group_name_H-M 'P 1'
_symmetry_Int_Tables_number 1
loop_
_symmetry_equiv_pos_as_xyz
'x,y,z'
loop_
_atom_site_label
_atom_site_type_symbol
_atom_site_fract_x
_atom_site_fract_y
_atom_site_fract_z
Sb1 Sb 0.000 0.000 0.000
Ir1 Ir 0.000 0.500 0.500
Ir2 Ir 0.500 0.000 0.500
Ru1 Ru 0.500 0.500 0.500
Se1 Se 0.500 0.500 0.000
```


(8)
Here is BeCd2TcN after structural relaxation from Alexandria via LeMat-Bulk. Energies are from GGA-PBE.

Properties
- Raw formation energy: 0.734 eV per atom
- Crystal system: tetragonal
- Space group: P4/mmm

```
data_BeCd2TcN
_cell_length_a 4.655
_cell_length_b 4.655
_cell_length_c 3.840
_cell_angle_alpha 90.00
_cell_angle_beta 90.00
_cell_angle_gamma 90.00
_symmetry_space_group_name_H-M 'P 1'
_symmetry_Int_Tables_number 1
loop_
_symmetry_equiv_pos_as_xyz
'x,y,z'
loop_
_atom_site_label
_atom_site_type_symbol
_atom_site_fract_x
_atom_site_fract_y
_atom_site_fract_z
Be1 Be 0.000 0.000 0.000
Cd1 Cd 0.000 0.500 0.500
Cd2 Cd 0.500 0.000 0.500
Tc1 Tc 0.500 0.500 0.000
N1 N 0.500 0.500 0.500
```


(9)
Here is Tb3YSn3 after structural relaxation from Alexandria via LeMat-Bulk. Energies are from GGA-PBE.

Properties
- ΔH_f (0 K): -0.5237 eV per atom
- Crystal system: hexagonal
- Space group: P6_3/m

```
data_Tb3YSn3
_cell_length_a 9.163
_cell_length_b 9.163
_cell_length_c 5.411
_cell_angle_alpha 90.00
_cell_angle_beta 90.00
_cell_angle_gamma 120.00
_symmetry_space_group_name_H-M 'P 1'
_symmetry_Int_Tables_number 1
loop_
_symmetry_equiv_pos_as_xyz
'x,y,z'
loop_
_atom_site_label
_atom_site_type_symbol
_atom_site_fract_x
_atom_site_fract_y
_atom_site_fract_z
Tb1 Tb 0.004 0.764 0.250
Tb2 Tb 0.236 0.240 0.250
Tb3 Tb 0.240 0.004 0.750
Tb4 Tb 0.760 0.996 0.250
Tb5 Tb 0.764 0.760 0.750
Tb6 Tb 0.996 0.236 0.750
Y1 Y 0.333 0.667 0.250
Y2 Y 0.667 0.333 0.750
Sn1 Sn 0.076 0.621 0.750
Sn2 Sn 0.379 0.454 0.750
Sn3 Sn 0.454 0.076 0.250
Sn4 Sn 0.546 0.924 0.750
Sn5 Sn 0.621 0.546 0.250
Sn6 Sn 0.924 0.379 0.250
```


(10)
Here is NdDy3Pu2S6 after structural relaxation from Alexandria via LeMat-Bulk. Energies are from GGA-PBE.

Properties
- Raw formation energy: -1.947 eV per atom
- Crystal system: monoclinic
- Space group: C2/m

```
data_NdDy3Pu2S6
_cell_length_a 6.827
_cell_length_b 6.827
_cell_length_c 6.871
_cell_angle_alpha 99.52
_cell_angle_beta 99.52
_cell_angle_gamma 120.03
_symmetry_space_group_name_H-M 'P 1'
_symmetry_Int_Tables_number 1
loop_
_symmetry_equiv_pos_as_xyz
'x,y,z'
loop_
_atom_site_label
_atom_site_type_symbol
_atom_site_fract_x
_atom_site_fract_y
_atom_site_fract_z
Nd1 Nd 0.000 0.000 0.000
Dy1 Dy 0.165 0.835 0.500
Dy2 Dy 0.500 0.500 0.500
Dy3 Dy 0.835 0.165 0.500
Pu1 Pu 0.333 0.667 0.000
Pu2 Pu 0.667 0.333 0.000
S1 S 0.086 0.425 0.258
S2 S 0.254 0.254 0.743
S3 S 0.425 0.086 0.258
S4 S 0.575 0.914 0.742
S5 S 0.746 0.746 0.257
S6 S 0.914 0.575 0.742
```


(11)
Here is CaPN2 after structural relaxation from Alexandria via LeMat-Bulk. Energies are from GGA-PBE.

Properties
- Raw formation energy: -0.390 eV per atom
- Crystal system: trigonal
- Space group: R-3m

```
data_CaPN2
_cell_length_a 3.754
_cell_length_b 3.754
_cell_length_c 16.592
_cell_angle_alpha 90.00
_cell_angle_beta 90.00
_cell_angle_gamma 120.00
_symmetry_space_group_name_H-M 'P 1'
_symmetry_Int_Tables_number 1
loop_
_symmetry_equiv_pos_as_xyz
'x,y,z'
loop_
_atom_site_label
_atom_site_type_symbol
_atom_site_fract_x
_atom_site_fract_y
_atom_site_fract_z
Ca1 Ca 0.000 0.000 0.000
Ca2 Ca 0.333 0.667 0.667
Ca3 Ca 0.667 0.333 0.333
P1 P 0.000 0.000 0.500
P2 P 0.333 0.667 0.167
P3 P 0.667 0.333 0.833
N1 N 0.000 0.000 0.406
N2 N 0.000 0.000 0.594
N3 N 0.333 0.667 0.073
N4 N 0.333 0.667 0.260
N5 N 0.667 0.333 0.740
N6 N 0.667 0.333 0.927
```


(12)
Here is Tb2GaO after structural relaxation from Alexandria via LeMat-Bulk. Energies are from GGA-PBE.

Properties
- Raw formation energy: -1.236 eV per atom
- Crystal system: tetragonal
- Space group: P4/mmm

```
data_Tb2GaO
_cell_length_a 3.112
_cell_length_b 3.112
_cell_length_c 7.389
_cell_angle_alpha 90.00
_cell_angle_beta 90.00
_cell_angle_gamma 90.00
_symmetry_space_group_name_H-M 'P 1'
_symmetry_Int_Tables_number 1
loop_
_symmetry_equiv_pos_as_xyz
'x,y,z'
loop_
_atom_site_label
_atom_site_type_symbol
_atom_site_fract_x
_atom_site_fract_y
_atom_site_fract_z
Tb1 Tb 0.000 0.000 0.212
Tb2 Tb 0.000 0.000 0.788
Ga1 Ga 0.500 0.500 0.500
O1 O 0.500 0.500 0.000
```